# 1
# LuTh2Ga, optimized geometry, DFT PBE
# **D(E_F)**: 1.47 states/eV/atom
# **Uncorrected energy**: -5.72 eV/atom
# **Magnetization**: 0.0 μB/f.u.
# **Energy of formation from the pure elements**: -0.126 eV per atom
# **Polymorph energy (0 for the lowest one)**: 47 meV per atom
data_LuTh2Ga
_chemical_formula_sum 'Lu1 Th2 Ga1'
_cell_length_a 3.979
_cell_length_b 3.979
_cell_length_c 7.100
_cell_angle_alpha 90.00
_cell_angle_beta 90.00
_cell_angle_gamma 90.00
_symmetry_space_group_name_H-M 'P 4/m m m'
_symmetry_Int_Tables_number 123
_symmetry_space_group_name_Hall '-P 4 2'
loop_
_atom_site_label
_atom_site_type_symbol
_atom_site_fract_x
_atom_site_fract_y
_atom_site_fract_z
_atom_site_occupancy
Lu1 Lu 0.000 0.000 0.000 1
Th1 Th 0.500 0.500 0.282 1
Ga1 Ga 0.000 0.000 0.500 1

=====

# 2
# LiErAl, optimized geometry, DFT PBE
# **D(E_F)**: 1.15 states/eV/atom
# **Uncorrected energy**: -3.51 eV/atom
# **Magnetization**: 0.0 μB/f.u.
# **Energy of formation from the pure elements**: -0.099 eV per atom
# **Polymorph energy (0 for the lowest one)**: 103 meV per atom
data_LiErAl
_chemical_formula_sum 'Li2 Er2 Al2'
_cell_length_a 3.397
_cell_length_b 3.397
_cell_length_c 11.036
_cell_angle_alpha 90.00
_cell_angle_beta 90.00
_cell_angle_gamma 90.00
_symmetry_space_group_name_H-M 'I 4 m m'
_symmetry_Int_Tables_number 107
_symmetry_space_group_name_Hall 'I 4 -2'
loop_
_atom_site_label
_atom_site_type_symbol
_atom_site_fract_x
_atom_site_fract_y
_atom_site_fract_z
_atom_site_occupancy
Li1 Li 0.000 0.000 0.000 1
Er1 Er 0.000 0.000 0.701 1
Al1 Al 0.000 0.000 0.379 1

=====

# 3
# Sn3PdO, optimized geometry, DFT PBE
# **D(E_F)**: 0.50 states/eV/atom
# **Uncorrected energy**: -4.09 eV/atom
# **Magnetization**: 0.0 μB/f.u.
# **Polymorph energy (0 for the lowest one)**: 550 meV per atom
# **Energy relative to the elements, uncorrected**: 1.7 eV per formula unit
data_Sn3PdO
_chemical_formula_sum 'Sn3 Pd1 O1'
_cell_length_a 5.134
_cell_length_b 5.134
_cell_length_c 5.134
_cell_angle_alpha 90.00
_cell_angle_beta 90.00
_cell_angle_gamma 90.00
_symmetry_space_group_name_H-M 'P m -3 m'
_symmetry_Int_Tables_number 221
_symmetry_space_group_name_Hall '-P 4 2 3'
loop_
_atom_site_label
_atom_site_type_symbol
_atom_site_fract_x
_atom_site_fract_y
_atom_site_fract_z
_atom_site_occupancy
Sn1 Sn 0.000 0.000 0.500 1
Pd1 Pd 0.000 0.000 0.000 1
O1 O 0.500 0.500 0.500 1

=====

# 4
# PrPdAu3, optimized geometry, DFT PBE
# **D(E_F)**: 0.38 states/eV/atom
# **Uncorrected energy**: -4.46 eV/atom
# **Magnetization**: 0.0 μB/f.u.
# **Energy of formation from the pure elements**: -0.498 eV per atom
# **Polymorph energy (0 for the lowest one)**: 0 meV per atom
data_PrPdAu3
_chemical_formula_sum 'Pr4 Pd4 Au12'
_cell_length_a 26.558
_cell_length_b 3.934
_cell_length_c 4.179
_cell_angle_alpha 90.00
_cell_angle_beta 98.79
_cell_angle_gamma 90.00
_symmetry_space_group_name_H-M 'C 1 2/m 1'
_symmetry_Int_Tables_number 12
loop_
_symmetry_equiv_pos_as_xyz
'x,y,z'
'-x,-y,-z'
'-x,y,-z'
'x,-y,z'
'x+1/2,y+1/2,z'
'-x+1/2,-y+1/2,-z'
'-x+1/2,y+1/2,-z'
'x+1/2,-y+1/2,z'
loop_
_atom_site_label
_atom_site_type_symbol
_atom_site_fract_x
_atom_site_fract_y
_atom_site_fract_z
_atom_site_occupancy
Pr1 Pr 0.094 0.000 0.344 1
Pd1 Pd 0.135 0.500 0.885 1
Au1 Au 0.034 0.500 0.782 1
Au2 Au 0.206 0.500 0.456 1
Au3 Au 0.209 0.000 0.959 1

=====

# 5
# CaHf3Sn, optimized geometry, DFT PBE
# **D(E_F)**: 1.89 states/eV/atom
# **Uncorrected energy**: -5.53 eV/atom
# **Magnetization**: 0.0 μB/f.u.
# **Energy of formation from the pure elements**: 1.646 eV per atom
# **Polymorph energy (0 for the lowest one)**: 790 meV per atom
data_CaHf3Sn
_chemical_formula_sum 'Ca1 Hf3 Sn1'
_cell_length_a 5.045
_cell_length_b 5.045
_cell_length_c 5.045
_cell_angle_alpha 90.00
_cell_angle_beta 90.00
_cell_angle_gamma 90.00
_symmetry_space_group_name_H-M 'P m -3 m'
_symmetry_Int_Tables_number 221
_symmetry_space_group_name_Hall '-P 4 2 3'
loop_
_atom_site_label
_atom_site_type_symbol
_atom_site_fract_x
_atom_site_fract_y
_atom_site_fract_z
_atom_site_occupancy
Ca1 Ca 0.000 0.000 0.000 1
Hf1 Hf 0.000 0.000 0.500 1
Sn1 Sn 0.500 0.500 0.500 1